[1]
# Ho2ZrCd

A geometry-optimized Ho2ZrCd structure (GGA-PBE, the Alexandria database).

Structure (CIF):
```
data_Ho2ZrCd
_chemical_formula_sum 'Ho2 Zr1 Cd1'
_cell_length_a 4.720
_cell_length_b 4.720
_cell_length_c 4.617
_cell_angle_alpha 90.00
_cell_angle_beta 90.00
_cell_angle_gamma 90.00
_space_group_name_H-M_alt 'P 4/m m m'
_space_group_IT_number 123
_space_group_name_Hall '-P 4 2'
loop_
_atom_site_label
_atom_site_type_symbol
_atom_site_fract_x
_atom_site_fract_y
_atom_site_fract_z
Ho1 Ho 0.000 0.500 0.000
Zr1 Zr 0.000 0.000 0.500
Cd1 Cd 0.500 0.500 0.500
```

[2]
# HoZrCd

A geometry-optimized HoZrCd structure (GGA-PBE, the Alexandria database).

Structure (CIF):
```
data_HoZrCd
_chemical_formula_sum 'Ho1 Zr1 Cd1'
_cell_length_a 5.1252
_cell_length_b 5.1252
_cell_length_c 3.3403
_cell_angle_alpha 90.00
_cell_angle_beta 90.00
_cell_angle_gamma 120.00
_space_group_name_H-M_alt 'P 3 m 1'
_space_group_IT_number 156
loop_
_space_group_symop_operation_xyz
'x,y,z'
'-y,x-y,z'
'-x+y,-x,z'
'-y,-x,z'
'-x+y,y,z'
'x,x-y,z'
loop_
_atom_site_label
_atom_site_type_symbol
_atom_site_fract_x
_atom_site_fract_y
_atom_site_fract_z
Ho1 Ho 0.0000 0.0000 0.0000
Zr1 Zr 0.3333 0.6667 0.4880
Cd1 Cd 0.6667 0.3333 0.5321
```

| no. | D(E_F) (states/eV/cell) | E above lowest polymorph (eV/f.u.) |
| --- | --- | --- |
| 1 | 5.799 | 0.45 |
| 2 | 2.270 | 0.57 |